[1]
Compound: ScNiOs2
Source: Alexandria via LeMat-Bulk
Functional: PBE
Structure: optimized geometry

abc: 2.812 3.826 5.551
angles: 90.00 90.10 90.00
Positions (direct):
Sc1 0.000 0.000 0.000
Ni1 0.500 0.500 0.234
Os1 0.000 0.000 0.498
Os2 0.500 0.500 0.698

Properties
* E_form: -0.087 eV/atom
* offset from the most stable computed form: 0.0 meV per atom
* volume: 14.9 Å³/atom



[2]
Compound: TcRhI2N
Source: Alexandria via LeMat-Bulk
Functional: PBE
Structure: optimized geometry

abc: 5.469 5.469 3.708
angles: 90.00 90.00 90.00
Positions (direct):
Tc1 0.000 0.000 0.000
Rh1 0.500 0.500 0.500
I1 0.000 0.500 0.000
I2 0.500 0.000 0.000
N1 0.000 0.000 0.500

Properties
* offset from the most stable computed form: 0.0 meV per atom
* volume: 22.2 Å³/atom
* ΔE_f (raw): 0.7785 eV/atom



[3]
Compound: KCaNi2
Source: Alexandria via LeMat-Bulk
Functional: PBE
Structure: optimized geometry

abc: 3.379 4.082 7.283
angles: 90.00 90.00 90.00
Positions (direct):
K1 0.000 0.000 0.000
Ca1 0.000 0.000 0.500
Ni1 0.500 0.500 0.340
Ni2 0.500 0.500 0.660

Properties
* E_form: 0.412 eV/atom
* offset from the most stable computed form: 290.0 meV per atom
* volume: 25.1 Å³/atom



[4]
Compound: H3IrAu
Source: Alexandria via LeMat-Bulk
Functional: PBE
Structure: optimized geometry

abc: 3.575 3.575 3.575
angles: 90.00 90.00 90.00
Positions (direct):
H1 0.000 0.000 0.500
H2 0.000 0.500 0.000
H3 0.500 0.000 0.000
Ir1 0.500 0.500 0.500
Au1 0.000 0.000 0.000

Properties
* offset from the most stable computed form: 597.6 meV per atom
* volume: 9.1 Å³/atom



[5]
Compound: LaIn3
Source: Alexandria via LeMat-Bulk
Functional: PBE
Structure: optimized geometry

abc: 6.043 6.043 6.043
angles: 134.10 134.10 66.93
Positions (direct):
La1 0.000 0.000 0.000
In1 0.250 0.750 0.500
In2 0.500 0.500 0.000
In3 0.750 0.250 0.500

Properties
* E_form: -0.374 eV/atom
* volume: 28.0 Å³/atom



[6]
Compound: TbNd2HoSc
Source: Alexandria via LeMat-Bulk
Functional: PBE
Structure: optimized geometry

abc: 6.230 7.882 6.525
angles: 90.00 90.00 90.00
Positions (direct):
Tb1 0.250 0.000 0.089
Tb2 0.750 0.000 0.911
Nd1 0.250 0.298 0.714
Nd2 0.250 0.702 0.714
Nd3 0.750 0.298 0.286
Nd4 0.750 0.702 0.286
Ho1 0.250 0.500 0.187
Ho2 0.750 0.500 0.813
Sc1 0.000 0.000 0.500
Sc2 0.500 0.000 0.500

Properties
* E_form: 0.210 eV/atom
* volume: 32.0 Å³/atom